Entry 1:
## BaSrCa2Hg (GGA-PBE)

Data for a relaxed BaSrCa2Hg crystal.

## Properties
Crystal system = tetragonal
Distance to the lowest polymorph of the same formula = 0.0373 eV/atom
ΔH_f (0 K) = -0.1274 eV per atom

abc: 6.1209 6.1209 6.4361
angles: 90.00 90.00 90.00
Space group P4/mmm (No. 123)
Asymmetric unit:
Ba 0.0000 0.0000 0.0000 (multiplicity 1)
Sr 0.5000 0.5000 0.0000 (multiplicity 1)
Ca 0.0000 0.5000 0.5000 (multiplicity 2)
Hg 0.0000 0.0000 0.5000 (multiplicity 1)

***

Entry 2:
## KAc2GaO5 (GGA-PBE)

Data for a relaxed KAc2GaO5 crystal.

## Properties
Crystal system = tetragonal
Energy relative to the elements, uncorrected = -2.515 eV per atom

abc: 7.1673 7.1673 5.9676
angles: 90.00 90.00 90.00
Space group P4/mbm (No. 127)
Asymmetric unit:
K 0.0000 0.0000 0.0000 (multiplicity 2)
Ac 0.1822 0.3178 0.5000 (multiplicity 4)
Ga 0.0000 0.5000 0.0000 (multiplicity 2)
O 0.0000 0.0000 0.5000 (multiplicity 2)
O 0.1295 0.6295 0.2344 (multiplicity 8)

***

Entry 3:
## Rb2Ag2F (GGA-PBE)

Data for a relaxed Rb2Ag2F crystal.

## Properties
Crystal system = tetragonal
Distance to the lowest polymorph of the same formula = 0.0000 eV/atom
Energy relative to the elements, uncorrected = -0.912 eV per atom

abc: 3.8465 3.8465 19.1856
angles: 90.00 90.00 90.00
Space group I4/mmm (No. 139)
Asymmetric unit:
Rb 0.0000 0.0000 0.0882 (multiplicity 4)
Ag 0.0000 0.5000 0.2500 (multiplicity 4)
F 0.0000 0.0000 0.5000 (multiplicity 2)

***

| no. | size of the total moment (μB per formula unit) |
| --- | --- |
| 1 | 0.00 |
| 2 | 0.00 |
| 3 | 0.00 |